1.
Sc4Sn3W2N3 | PBE-GGA | relaxed

As for the total energy: -0.2998 hartree per atom.

The space group is C2/c (No. 15) and the conventional cell measures 9.688, 5.623 and 14.293 Å, with angles of 90.00, 103.08 and 90.00 degrees. Symmetry generates all atoms from Sc at (0.112, 0.087, 0.085), Sc at (0.223, 0.081, 0.415), Sn at (0.000, 0.101, 0.750), Sn at (0.158, 0.428, 0.250), W at (0.054, 0.419, 0.920), N at (0.084, 0.247, 0.500) and N at (0.250, 0.250, 0.000).



2.
Sr2ScTcN6 | PBE-GGA | relaxed

As for the total energy: -0.2614 hartree per atom.

The space group is C2/m (No. 12) and the conventional cell measures 9.983, 5.771 and 5.771 Å, with angles of 90.00, 125.17 and 90.00 degrees. Symmetry generates all atoms from Sr at (0.250, 0.000, 0.250), Sc at (0.000, 0.000, 0.500), Tc at (0.000, 0.500, 0.000), N at (0.001, 0.261, 0.242) and N at (0.240, 0.500, 0.238).